# 1
# NpGa4Pd2

An optimized crystal structure of NpGa4Pd2 (PBE, Alexandria).

Geometry as POSCAR:
```
NpGa4Pd2
1.0
17.331 0.000 0.000
0.000 4.362 0.000
0.000 0.000 6.608
Np Ga Pd
4 16 8
direct
0.138 0.250 0.013 Np
0.362 0.750 0.513 Np
0.638 0.250 0.487 Np
0.862 0.750 0.987 Np
0.038 0.750 0.836 Ga
0.071 0.250 0.485 Ga
0.184 0.750 0.320 Ga
0.190 0.750 0.726 Ga
0.310 0.250 0.226 Ga
0.316 0.250 0.820 Ga
0.429 0.750 0.985 Ga
0.462 0.250 0.336 Ga
0.538 0.750 0.664 Ga
0.571 0.250 0.015 Ga
0.684 0.750 0.180 Ga
0.690 0.750 0.774 Ga
0.810 0.250 0.274 Ga
0.816 0.250 0.680 Ga
0.929 0.750 0.515 Ga
0.962 0.250 0.164 Ga
0.035 0.750 0.247 Pd
0.217 0.250 0.527 Pd
0.283 0.750 0.027 Pd
0.465 0.250 0.747 Pd
0.535 0.750 0.253 Pd
0.717 0.250 0.973 Pd
0.783 0.750 0.473 Pd
0.965 0.250 0.753 Pd
```

**Total magnetization**: 3.90 μB/f.u.
**Formation energy**: -441 meV per atom


# 2
# NpGaPd2

An optimized crystal structure of NpGaPd2 (PBE, Alexandria).

Geometry as POSCAR:
```
NpGaPd2
1.0
3.007 0.000 0.000
0.000 3.007 0.000
0.000 0.000 7.692
Np Ga Pd
1 1 2
direct
0.000 0.000 0.000 Np
0.000 0.000 0.500 Ga
0.500 0.500 0.296 Pd
0.500 0.500 0.704 Pd
```

**Total magnetization**: 4.10 μB/f.u.
**Formation energy**: -358 meV per atom


# 3
# Np3Ga4Pd2

An optimized crystal structure of Np3Ga4Pd2 (PBE, Alexandria).

Geometry as POSCAR:
```
Np3Ga4Pd2
1.0
4.148 -7.223 0.000
4.148 7.223 0.000
0.000 0.000 5.582
Np Ga Pd
6 8 4
direct
0.000 0.000 0.250 Np
0.000 0.000 0.750 Np
0.337 0.663 0.250 Np
0.337 0.663 0.750 Np
0.663 0.337 0.250 Np
0.663 0.337 0.750 Np
0.007 0.668 0.000 Ga
0.327 0.330 0.500 Ga
0.330 0.327 0.000 Ga
0.332 0.993 0.500 Ga
0.668 0.007 0.500 Ga
0.670 0.673 0.000 Ga
0.673 0.670 0.500 Ga
0.993 0.332 0.000 Ga
0.004 0.672 0.500 Pd
0.328 0.996 0.000 Pd
0.672 0.004 0.000 Pd
0.996 0.328 0.500 Pd
```

**Total magnetization**: 12.20 μB/f.u.
**Formation energy**: -339 meV per atom


| no. | total DFT energy (no corrections) (eV per atom) |
| --- | --- |
| 1 | -5.50 |
| 2 | -6.95 |
| 3 | -7.15 |